[1]
## Ca2AgWO6 (PBEsol)

Data for a relaxed Ca2AgWO6 crystal.

Cell and atoms, written as POSCAR:
```
Ca2AgWO6
1.0
5.5394 0.0000 -0.0277
0.0000 5.9197 0.0000
-0.1083 0.0000 7.5597
Ca Ag W O
4 2 2 12
direct
0.9845 0.9314 0.2531
0.5155 0.4314 0.2469
0.0155 0.0686 0.7469
0.4845 0.5686 0.7531
0.5000 0.0000 0.0000
0.0000 0.5000 0.5000
0.5000 0.0000 0.5000
0.0000 0.5000 0.0000
0.6540 0.7234 0.4329
0.8460 0.2234 0.0671
0.3460 0.2766 0.5671
0.1540 0.7766 0.9329
0.2110 0.8370 0.5507
0.2890 0.3370 0.9493
0.7890 0.1630 0.4493
0.7110 0.6630 0.0507
0.1165 0.5522 0.2415
0.3835 0.0522 0.2585
0.6165 0.9478 0.7415
0.8835 0.4478 0.7585
```

Summary:
* offset from the most stable computed form: 0 meV per atom
* formation energy from raw total energies: -2.17 eV per atom
* V: 247.9 Å³/cell
* total moment: 0.00 μB/f.u.
* space group: P2_1/c
* density of states at the Fermi level: 7.67 states/eV per cell
* calculated total energy: -7.460 eV per atom

=====

[2]
## Ca2AgWO6 (PBEsol)

Data for a relaxed Ca2AgWO6 crystal.

Cell and atoms, written as POSCAR:
```
Ca2AgWO6
1.0
-2.4110 2.6796 -4.0590
0.2997 -4.5986 -3.2038
-2.7424 -0.4187 5.0188
Ca Ag W O
2 1 1 6
direct
0.7586 0.3278 0.5471
0.2682 0.8365 0.5459
0.4968 0.5010 0.0035
0.9857 0.9820 0.9849
0.1962 0.7187 0.0724
0.7333 0.1965 0.8659
0.3200 0.1979 0.0720
0.0713 0.1562 0.3946
0.8767 0.7334 0.5576
0.6294 0.7053 0.8336
```

Summary:
* offset from the most stable computed form: 26 meV per atom
* formation energy from raw total energies: -2.15 eV per atom
* V: 130.1 Å³/cell
* total moment: 0.69 μB/f.u.
* space group: P1
* density of states at the Fermi level: 2.97 states/eV per cell
* calculated total energy: -7.435 eV per atom

=====

[3]
## Ca2AgOs (PBEsol)

Data for a relaxed Ca2AgOs crystal.

Cell and atoms, written as POSCAR:
```
Ca2AgOs
1.0
4.2670 0.0000 0.0000
0.0000 4.2670 0.0000
-2.1335 -2.1335 4.4728
Ca Os Ag
2 1 1
direct
0.0000 0.0000 0.0000
0.7500 0.2500 0.5000
0.5000 0.5000 0.0000
0.2500 0.7500 0.5000
```

Summary:
* V: 81.4 Å³/cell
* total moment: 0.01 μB/f.u.
* space group: I-4m2
* density of states at the Fermi level: 4.03 states/eV per cell
* ΔE_f: 0.435 eV/atom
* calculated total energy: -4.513 eV per atom

=====

[4]
## Ca2AgOs (PBEsol)

Data for a relaxed Ca2AgOs crystal.

Cell and atoms, written as POSCAR:
```
Ca2AgOs
1.0
2.8774 0.0000 0.0000
0.0000 5.3406 0.0148
-1.4387 -1.2374 5.4012
Ca Os Ag
2 1 1
direct
0.0247 0.0604 0.0493
0.2176 0.6766 0.4352
0.4722 0.5456 0.9443
0.7856 0.2174 0.5711
```

Summary:
* V: 83.1 Å³/cell
* total moment: 0.00 μB/f.u.
* space group: Cm
* density of states at the Fermi level: 2.45 states/eV per cell
* ΔE_f: 0.295 eV/atom
* calculated total energy: -4.654 eV per atom

=====

[5]
## Ca2AgOs (PBEsol)

Data for a relaxed Ca2AgOs crystal.

Cell and atoms, written as POSCAR:
```
Ca2AgOs
1.0
3.0700 0.0000 0.0000
0.0000 5.0520 0.0000
-1.5350 -2.5260 5.5814
Ca Os Ag
2 1 1
direct
0.9810 0.9810 0.9620
0.7864 0.2864 0.5729
0.5175 0.5175 0.0349
0.2151 0.7151 0.4302
```

Summary:
* V: 86.6 Å³/cell
* total moment: 0.00 μB/f.u.
* space group: Imm2
* density of states at the Fermi level: 2.96 states/eV per cell
* ΔE_f: 0.351 eV/atom
* calculated total energy: -4.597 eV per atom

=====

[6]
## CaAg3Os (PBEsol)

Data for a relaxed CaAg3Os crystal.

Cell and atoms, written as POSCAR:
```
CaAg3Os
1.0
-2.9387 1.2075 -3.5699
1.6207 -3.6820 -2.5796
-3.4023 -2.7969 1.8547
Ca Os Ag
1 1 3
direct
0.0000 0.0000 0.0000
0.5000 0.5000 0.5000
0.0000 0.5000 0.0000
0.0000 0.0000 0.5000
0.5000 0.0000 0.0000
```

Summary:
* V: 109.1 Å³/cell
* total moment: 1.33 μB/f.u.
* space group: Pm-3m
* density of states at the Fermi level: 1.99 states/eV per cell
* ΔE_f: 2.028 eV/atom
* calculated total energy: -2.829 eV per atom

=====

[7]
## Ca4AgP (PBEsol)

Data for a relaxed Ca4AgP crystal.

Cell and atoms, written as POSCAR:
```
Ca4AgP
1.0
6.2667 0.0000 0.0000
3.1334 5.4272 0.0000
3.1334 1.8091 5.1168
Ag Ca P
1 4 1
direct
0.0000 0.0000 0.0000
0.3759 0.3759 0.3759
0.3759 0.3759 0.8722
0.8722 0.3759 0.3759
0.3759 0.8722 0.3759
0.7500 0.7500 0.7500
```

Summary:
* V: 174.0 Å³/cell
* total moment: 0.00 μB/f.u.
* space group: F-43m
* density of states at the Fermi level: 5.83 states/eV per cell
* ΔE_f: 0.452 eV/atom
* calculated total energy: -2.487 eV per atom

=====

[8]
## CaAg2P2 (PBEsol)

Data for a relaxed CaAg2P2 crystal.

Cell and atoms, written as POSCAR:
```
CaAg2P2
1.0
4.1160 0.0000 0.0000
0.0000 4.1160 0.0000
-2.0580 -2.0580 5.4108
P Ca Ag
2 1 2
direct
0.3957 0.3957 0.7915
0.6043 0.6043 0.2085
0.0000 0.0000 0.0000
0.2500 0.7500 0.5000
0.7500 0.2500 0.5000
```

Summary:
* V: 91.7 Å³/cell
* total moment: 0.00 μB/f.u.
* space group: I4/mmm
* density of states at the Fermi level: 1.97 states/eV per cell
* ΔE_f: -0.419 eV/atom
* calculated total energy: -4.487 eV per atom